one:
A relaxed Ac4SiGe2 crystal, computed with PBE.

abc: 4.673 7.876 8.863
angles: 120.04 105.28 90.00
Sites, in units of the cell vectors:
Ac  0.874  0.187  0.749
Ac  0.126  0.813  0.251
Ac  0.639  0.268  0.278
Ac  0.361  0.732  0.722
Ge  0.278  0.269  0.555
Ge  0.722  0.731  0.445
Si  0.000  0.000  0.000

DOS at the Fermi energy = 2.31 states/eV/f.u.
Symmetry = C2/m

=====

two:
A relaxed Ac4SiGe2 crystal, computed with PBE.

abc: 5.730 5.730 9.256
angles: 108.03 108.03 90.00
Sites, in units of the cell vectors:
Ac  0.187  0.187  0.375
Ac  0.500  0.000  0.000
Ac  0.813  0.813  0.625
Ac  0.000  0.500  0.000
Ge  0.624  0.624  0.249
Ge  0.376  0.376  0.751
Si  0.000  0.000  0.000

DOS at the Fermi energy = 5.15 states/eV/f.u.
Symmetry = I4/mmm

=====

Least stable: two